A plane-wave DFT calculation with PBE was carried out for an optimized crystal structure of Tb4PmSc6.

a = 8.547 Å, b = 8.547 Å, c = 5.113 Å
α = 90.00°, β = 90.00°, γ = 120.00°
Fractional coordinates of all 11 atoms:
1 Tb 0.000 0.000 0.000
2 Tb 0.529 0.057 0.500
3 Tb 0.529 0.471 0.500
4 Tb 0.943 0.471 0.500
5 Pm 0.333 0.667 0.000
6 Sc 0.118 0.236 0.500
7 Sc 0.118 0.882 0.500
8 Sc 0.411 0.205 0.000
9 Sc 0.764 0.882 0.500
10 Sc 0.795 0.205 0.000
11 Sc 0.795 0.589 0.000

Properties
* D(E_F): 14.33 states/eV/f.u.
* energy: -57.8 eV/cell
* volume: 29.4 A^3/atom